Density functional theory data (PBE) for InCuS2 after structural relaxation.

Geometry as POSCAR:
```
InCuS2
1.0
-2.109 -2.872 -1.709
1.849 0.680 -3.425
3.901 -3.683 1.375
Cu In S
1 1 2
Cartesian
0.000 0.000 0.000
1.821 -2.937 -1.879
1.792 -0.478 -1.407
1.980 -4.300 0.216
```

ρ ... 4.66 g cm⁻³
Uncorrected energy ... -4.1643 eV/atom


Density functional theory data (PBE) for InCuS2 after structural relaxation.

Geometry as POSCAR:
```
InCuS2
1.0
-1.887 -2.741 -4.460
5.056 0.281 -2.311
-0.212 -3.637 5.795
Cu In S
2 2 4
Cartesian
0.181 -2.073 -3.281
1.814 -3.134 0.150
3.651 -0.562 -2.209
-1.661 -4.648 -0.922
3.055 -1.170 0.155
-0.120 -2.667 -1.054
1.304 -3.818 2.314
3.000 -4.889 -0.808
```

ρ ... 4.64 g cm⁻³
Uncorrected energy ... -4.1663 eV/atom


> Number 2 is which compound?

InCuS2